Entry 1:
Here is ZnInRh2 after structural relaxation from the Alexandria database. Energies are from PBEsol.

Calculated values
formation enthalpy at 0 K = -0.259 eV/atom

```
ZnInRh2
1.0
2.922 0.000 0.000
0.000 4.517 -0.082
-1.461 -1.612 4.561
In Rh Zn
1 2 1
Direct
0.257 0.822 0.514
0.006 0.931 0.012
0.747 0.323 0.494
0.490 0.424 0.980
```

***

Entry 2:
Here is ZnInRh2 after structural relaxation from the Alexandria database. Energies are from PBEsol.

Calculated values
formation enthalpy at 0 K = -0.169 eV/atom

```
ZnInRh2
1.0
3.846 0.000 0.000
0.000 3.846 0.000
-1.923 -1.923 4.025
In Rh Zn
1 2 1
Direct
0.250 0.750 0.500
0.000 0.000 0.000
0.750 0.250 0.500
0.500 0.500 0.000
```

***

Entry 3:
Here is ZnIn2Rh2 after structural relaxation from the Alexandria database. Energies are from PBEsol.

Calculated values
formation enthalpy at 0 K = -0.359 eV/atom

```
ZnIn2Rh2
1.0
3.995 0.000 0.000
0.000 6.493 0.000
0.000 0.000 6.493
Zn Rh In
2 4 4
Direct
0.000 0.000 0.000
0.000 0.500 0.500
0.000 0.353 0.853
0.000 0.853 0.647
0.000 0.647 0.147
0.000 0.147 0.353
0.500 0.160 0.660
0.500 0.660 0.840
0.500 0.840 0.340
0.500 0.340 0.160
```

***

Entry 4:
Here is ZnInRh2 after structural relaxation from the Alexandria database. Energies are from PBEsol.

Calculated values
formation enthalpy at 0 K = -0.191 eV/atom

```
ZnInRh2
1.0
3.040 0.000 0.000
0.000 4.319 0.000
-1.520 -2.159 4.552
In Rh Zn
1 2 1
Direct
0.247 0.747 0.495
0.004 0.004 0.009
0.760 0.260 0.519
0.488 0.488 0.977
```

***

Entry 5:
Here is Zr5In4Rh2 after structural relaxation from the Alexandria database. Energies are from PBEsol.

Calculated values
formation enthalpy at 0 K = -0.584 eV/atom

```
Zr5In4Rh2
1.0
-1.415 -2.743 -1.329
6.656 -2.043 -2.868
3.522 -8.821 14.458
Zr In Rh
10 8 4
Direct
0.000 0.139 0.920
0.000 0.759 0.779
0.000 0.639 0.580
0.000 0.259 0.721
0.000 0.361 0.420
0.000 0.241 0.221
0.000 0.000 0.500
0.000 0.741 0.279
0.000 0.500 0.000
0.000 0.861 0.080
0.500 0.801 0.932
0.500 0.561 0.150
0.500 0.439 0.850
0.500 0.061 0.350
0.500 0.301 0.568
0.500 0.939 0.650
0.500 0.699 0.432
0.500 0.199 0.068
0.500 0.551 0.693
0.500 0.449 0.307
0.500 0.051 0.807
0.500 0.949 0.193
```

***

Entry 6:
Here is Zr2InRh after structural relaxation from the Alexandria database. Energies are from PBEsol.

Calculated values
formation enthalpy at 0 K = -0.535 eV/atom

```
Zr2InRh
1.0
-1.101 2.800 0.571
-2.212 -0.447 -2.071
-4.810 -3.073 5.801
Rh Zr In
1 2 1
Direct
0.500 0.500 0.500
0.000 0.000 0.720
0.000 0.000 0.280
0.500 0.500 0.000
```

***

Entry 7:
Here is ZrInRh after structural relaxation from the Alexandria database. Energies are from PBEsol.

Calculated values
formation enthalpy at 0 K = -0.541 eV/atom

```
ZrInRh
1.0
3.142 0.000 0.000
0.000 3.142 0.000
-1.571 -1.571 5.547
In Rh Zr
1 1 1
Direct
0.014 0.014 0.028
0.670 0.670 0.340
0.316 0.316 0.632
```

***

Entry 8:
Here is ZrIn2Rh after structural relaxation from the Alexandria database. Energies are from PBEsol.

Calculated values
formation enthalpy at 0 K = -0.324 eV/atom

```
ZrIn2Rh
1.0
-3.934 0.494 1.648
-1.683 -1.952 -3.432
3.145 -2.871 2.775
In Rh Zr
2 1 1
Direct
0.000 0.000 0.000
0.250 0.750 0.500
0.500 0.500 0.000
0.750 0.250 0.500
```

***

Entry 9:
Here is Zr2InRh after structural relaxation from the Alexandria database. Energies are from PBEsol.

Calculated values
formation enthalpy at 0 K = -0.457 eV/atom

```
Zr2InRh
1.0
3.258 0.000 0.000
0.000 3.258 0.000
0.000 0.000 7.284
In Rh Zr
1 1 2
Direct
0.000 0.000 0.531
0.500 0.500 0.756
0.000 0.000 0.961
0.500 0.500 0.252
```

***

Entry 10:
Here is ZrIn2Rh after structural relaxation from the Alexandria database. Energies are from PBEsol.

Calculated values
formation enthalpy at 0 K = -0.342 eV/atom

```
ZrIn2Rh
1.0
-2.601 -0.632 2.001
-1.624 -1.154 -2.476
2.699 -6.750 1.375
In Rh Zr
2 1 1
Direct
0.000 0.000 0.992
0.500 0.500 0.287
0.000 0.000 0.507
0.500 0.500 0.714
```

***

Entry 11:
Here is In3Ru after structural relaxation from the Alexandria database. Energies are from PBEsol.

Calculated values
formation enthalpy at 0 K = 0.099 eV/atom

```
In3Ru
1.0
3.115 0.000 0.000
0.000 3.115 0.000
0.000 0.000 8.570
In Ru
3 1
Direct
0.000 0.000 0.807
0.500 0.500 0.500
0.000 0.000 0.193
0.500 0.500 0.000
```

***

Entry 12:
Here is In3Ru after structural relaxation from the Alexandria database. Energies are from PBEsol.

Calculated values
formation enthalpy at 0 K = -0.095 eV/atom

```
In3Ru
1.0
-1.317 -0.876 -5.019
-2.824 -6.419 1.862
-7.490 3.679 1.323
In Ru
12 4
Direct
0.099 0.013 0.750
0.599 0.487 0.250
0.401 0.513 0.750
0.901 0.987 0.250
0.623 0.170 0.951
0.123 0.330 0.049
0.877 0.670 0.549
0.377 0.830 0.451
0.377 0.830 0.049
0.877 0.670 0.951
0.123 0.330 0.451
0.623 0.170 0.549
0.590 0.868 0.750
0.090 0.632 0.250
0.910 0.368 0.750
0.410 0.132 0.250
```

***

Entry 13:
Here is InRu2 after structural relaxation from the Alexandria database. Energies are from PBEsol.

Calculated values
formation enthalpy at 0 K = 1.184 eV/atom

```
InRu2
1.0
-0.801 2.936 3.001
-2.935 -0.768 3.012
1.213 -0.688 4.041
In Ru
1 2
Direct
0.000 0.000 0.000
0.750 0.750 0.750
0.250 0.250 0.250
```

***

Entry 14:
Here is InRu2 after structural relaxation from the Alexandria database. Energies are from PBEsol.

Calculated values
formation enthalpy at 0 K = 0.476 eV/atom

```
InRu2
1.0
2.786 0.000 0.000
0.000 4.382 0.000
0.000 -2.191 3.794
In Ru
1 2
Direct
0.000 0.000 0.000
0.290 0.667 0.333
0.710 0.333 0.667
```